Record 1
This record from the Alexandria database describes a PBEsol-optimized structure of K3GaHg. The functional is SCAN.

Cell: 6.357 6.357 6.357 Å, 90.00 90.00 90.00°
Space group Pm-3m (No. 221)
Asymmetric unit:
K: 0.000 0.000 0.500
Ga: 0.500 0.500 0.500
Hg: 0.000 0.000 0.000

Properties
Energy relative to the elements (eV per formula unit): 1.0
Density (g/cm³): 2.5
Total magnetization (Bohr magnetons per cell): 0.000
Total energy (eV per atom): -21.690


Record 2
This record from the Alexandria database describes a PBEsol-optimized structure of KGaHg3. The functional is SCAN.

Cell: 5.265 5.265 5.265 Å, 90.00 90.00 90.00°
Space group Pm-3m (No. 221)
Asymmetric unit:
K: 0.000 0.000 0.000
Ga: 0.500 0.500 0.500
Hg: 0.000 0.500 0.500

Properties
Energy relative to the elements (eV per formula unit): -0.8
Density (g/cm³): 8.1
Total magnetization (Bohr magnetons per cell): 0.000
Total energy (eV per atom): -46.002